# 1
# PBE Cd3BO4, optimized geometry
data_Cd3BO4
_cell_length_a 6.7402
_cell_length_b 5.8948
_cell_length_c 5.3948
_cell_angle_alpha 90.00
_cell_angle_beta 90.00
_cell_angle_gamma 90.00
_symmetry_space_group_name_H-M 'P m n 21'
_symmetry_Int_Tables_number 31
_symmetry_space_group_name_Hall 'P 2ac -2'
loop_
_atom_site_label
_atom_site_type_symbol
_atom_site_fract_x
_atom_site_fract_y
_atom_site_fract_z
_atom_site_occupancy
Cd1 Cd 0.0000 0.1554 0.0000 1
Cd2 Cd 0.2439 0.3290 0.4981 1
B1 B 0.0000 0.8257 0.4911 1
O1 O 0.0000 0.0664 0.5849 1
O2 O 0.0000 0.8234 0.2118 1
O3 O 0.1838 0.7042 0.5841 1
# Raw formation energy: -1.314 eV/atom

***

# 2
# PBE Cd2BO, optimized geometry
data_Cd2BO
_cell_length_a 6.1337
_cell_length_b 6.1337
_cell_length_c 6.1337
_cell_angle_alpha 90.00
_cell_angle_beta 90.00
_cell_angle_gamma 90.00
_symmetry_space_group_name_H-M 'F m -3 m'
_symmetry_Int_Tables_number 225
_symmetry_space_group_name_Hall '-F 4 2 3'
loop_
_atom_site_label
_atom_site_type_symbol
_atom_site_fract_x
_atom_site_fract_y
_atom_site_fract_z
_atom_site_occupancy
Cd1 Cd 0.2500 0.2500 0.2500 1
B1 B 0.0000 0.0000 0.0000 1
O1 O 0.0000 0.0000 0.5000 1
# Excess energy over the best structure of this formula in the dataset: 418 meV/atom
# Raw formation energy: 0.713 eV/atom

***

Please write out number 1 again, unchanged.
# PBE Cd3BO4, optimized geometry
data_Cd3BO4
_cell_length_a 6.7402
_cell_length_b 5.8948
_cell_length_c 5.3948
_cell_angle_alpha 90.00
_cell_angle_beta 90.00
_cell_angle_gamma 90.00
_symmetry_space_group_name_H-M 'P m n 21'
_symmetry_Int_Tables_number 31
_symmetry_space_group_name_Hall 'P 2ac -2'
loop_
_atom_site_label
_atom_site_type_symbol
_atom_site_fract_x
_atom_site_fract_y
_atom_site_fract_z
_atom_site_occupancy
Cd1 Cd 0.0000 0.1554 0.0000 1
Cd2 Cd 0.2439 0.3290 0.4981 1
B1 B 0.0000 0.8257 0.4911 1
O1 O 0.0000 0.0664 0.5849 1
O2 O 0.0000 0.8234 0.2118 1
O3 O 0.1838 0.7042 0.5841 1
# Raw formation energy: -1.314 eV/atom